Entry from the Alexandria database: a relaxed Sb2AuBr8 crystal (PBE-GGA).

Unit cell a=6.857 b=7.491 c=11.322 alpha=114.43 beta=90.00 gamma=117.23
Fractional positions:
Br: 0.688 0.884 0.812
Br: 0.337 0.673 0.487
Br: 0.663 0.327 0.513
Sb: 0.105 0.211 0.402
Sb: 0.895 0.789 0.598
Br: 0.196 0.884 0.812
Br: 0.129 0.258 0.674
Au: 0.000 0.000 0.000
Br: 0.804 0.116 0.188
Br: 0.871 0.742 0.326
Br: 0.312 0.116 0.188

Summary:
ρ (Mg/m³): 3.9
Space group: C2/m
Uncorrected formation energy (meV/atom): -378